{
  "formula": "KLi2MoF6",
  "functional": "PBE+U",
  "state": "relaxed",
  "lattice_angstrom": [[5.876, 0.000, 0.000], [-2.812, 5.166, 0.000], [-0.907, -2.907, 5.106]],
  "species": ["K", "Li", "Li", "Mo", "F", "F", "F", "F", "F", "F"],
  "frac_coords": [[0.000, 0.000, 0.000], [0.315, 0.515, 0.829], [0.686, 0.509, 0.194], [0.501, 0.012, 0.511], [0.067, 0.743, 0.285], [0.443, 0.267, 0.823], [0.468, 0.750, 0.684], [0.533, 0.276, 0.340], [0.559, 0.759, 0.199], [0.934, 0.283, 0.739]],
  "magmom_total_mub_per_fu": 3.00,
  "dft_energy_ev_per_atom": -5.123
}